P | GGA-PBE MgV2Bi, relaxed; Fermi-level density of states = 1.1569 states/eV per atom; mass density = 6.97 g/cm3; magnetization = 6.5 μB per formula unit
1.0
-3.809 -1.942 2.255
-2.048 2.316 3.715
-4.378 1.984 -0.506
Mg Bi V
1 1 2
Cartesian
0.000 0.000 0.000 Mg
-5.118 1.179 2.732 Bi
-2.559 0.589 1.366 V
-7.676 1.768 4.098 V


Q | GGA-PBE MgV2Bi, relaxed; Fermi-level density of states = 1.1223 states/eV per atom; mass density = 7.03 g/cm3; magnetization = 0.5 μB per formula unit
1.0
-6.090 -3.168 2.954
4.330 -4.570 4.026
-0.842 -1.974 5.600
Mg Bi V
2 2 4
Cartesian
-0.880 -3.869 3.490 Mg
1.304 -5.207 6.558 Mg
0.000 0.000 0.000 Bi
-3.906 -4.506 6.022 Bi
-3.502 -3.059 3.763 V
1.762 -3.732 4.273 V
-1.310 -4.362 6.800 V
-2.152 -8.272 10.326 V


What should be chosen as the most stable of them? Choose P.


P | GGA-PBE Mg14BiW, relaxed; Fermi-level density of states = 0.5466 states/eV per atom; mass density = 3.42 g/cm3; magnetization = 1.5 μB per formula unit
1.0
-2.055 5.948 -0.509
1.492 -2.304 5.685
9.655 3.231 -1.224
Mg Bi W
14 1 1
Cartesian
-1.464 4.574 0.522 Mg
0.303 0.461 3.610 Mg
4.393 3.208 0.163 Mg
-0.438 1.612 0.800 Mg
4.111 5.036 2.761 Mg
-0.715 3.404 3.346 Mg
2.647 1.005 1.446 Mg
7.338 2.575 0.851 Mg
2.354 2.906 4.147 Mg
7.044 4.476 3.552 Mg
1.627 4.091 1.198 Mg
6.240 5.635 0.613 Mg
3.244 -0.174 4.376 Mg
8.235 1.496 3.744 Mg
5.160 2.010 3.047 Bi
3.350 6.221 -0.114 W


Q | GGA-PBE Mg14BiW, relaxed; Fermi-level density of states = 0.7319 states/eV per atom; mass density = 3.45 g/cm3; magnetization = 0.0 μB per formula unit
1.0
5.424 -0.067 -3.231
-5.433 1.222 -2.977
1.228 9.978 1.854
Mg Bi W
14 1 1
Cartesian
2.698 0.541 -4.702 Mg
-2.094 5.602 -0.576 Mg
2.702 -0.029 -1.632 Mg
-2.098 6.173 -3.651 Mg
0.016 0.575 -3.104 Mg
0.593 5.568 -2.177 Mg
-3.384 3.358 -2.582 Mg
-2.733 8.646 -1.600 Mg
-0.593 2.730 -1.053 Mg
0.057 8.018 -0.071 Mg
-0.598 3.323 -4.242 Mg
0.053 8.611 -3.259 Mg
2.118 2.899 -2.675 Mg
2.721 7.804 -1.764 Mg
0.614 4.989 0.927 Bi
0.000 0.000 0.000 W


What should be chosen as the most stable of them? Choose Q.


P | GGA-PBE Mg6BiW, relaxed; Fermi-level density of states = 0.6322 states/eV per atom; mass density = 5.27 g/cm3; magnetization = 0.0 μB per formula unit
1.0
3.153 -5.326 0.000
3.153 5.326 0.000
0.000 0.000 5.051
Mg Bi W
6 1 1
Cartesian
1.503 0.861 0.000 Mg
4.803 0.861 0.000 Mg
3.153 -1.753 0.000 Mg
1.482 -0.925 2.526 Mg
4.825 -0.925 2.526 Mg
3.153 -3.534 2.526 Mg
3.153 1.821 2.526 Bi
3.153 3.596 0.000 W


Q | GGA-PBE Mg6BiW, relaxed; Fermi-level density of states = 0.7477 states/eV per atom; mass density = 5.22 g/cm3; magnetization = 0.8 μB per formula unit
1.0
3.054 -5.441 0.000
3.054 5.441 0.000
0.000 0.000 5.155
Mg Bi W
6 1 1
Cartesian
4.564 -0.896 2.578 Mg
1.545 -0.896 2.578 Mg
4.686 0.919 0.000 Mg
1.423 0.919 0.000 Mg
3.054 -1.942 0.000 Mg
3.054 3.699 0.000 Mg
3.054 1.861 2.578 Bi
3.054 -3.664 2.578 W


What should be chosen as the most stable of them? Choose P.